(1)
A plane-wave DFT calculation with PBE was carried out for a relaxed Sr2TlHg2 crystal.

```
Sr2TlHg2
1.0
8.687 0.000 0.000
0.000 8.687 0.000
0.000 0.000 4.319
Sr Tl Hg
4 2 4
direct
0.176 0.324 0.000
0.324 0.824 0.000
0.676 0.176 0.000
0.824 0.676 0.000
0.000 0.000 0.500
0.500 0.500 0.500
0.124 0.624 0.500
0.376 0.124 0.500
0.624 0.876 0.500
0.876 0.376 0.500
```

Calculated values
Energy relative to the lowest polymorph listed for this composition   0 meV per atom
Energy relative to the elements   -443 meV per atom
Fermi-level density of states   8.60 states/eV per cell

(2)
A plane-wave DFT calculation with PBE was carried out for a relaxed Ac3Al2In3 crystal.

```
Ac3Al2In3
1.0
2.377 -6.181 0.000
2.377 6.181 0.000
0.000 0.000 16.493
Ac Al In
6 4 6
direct
0.065 0.935 0.608
0.065 0.935 0.892
0.353 0.647 0.750
0.647 0.353 0.250
0.935 0.065 0.108
0.935 0.065 0.392
0.226 0.774 0.109
0.226 0.774 0.391
0.774 0.226 0.609
0.774 0.226 0.891
0.359 0.641 0.538
0.359 0.641 0.962
0.365 0.635 0.250
0.635 0.365 0.750
0.641 0.359 0.038
0.641 0.359 0.462
```

Calculated values
Energy relative to the lowest polymorph listed for this composition   0 meV per atom
Energy relative to the elements   -421 meV per atom
Fermi-level density of states   12.34 states/eV per cell

(3)
A plane-wave DFT calculation with PBE was carried out for a relaxed TaTe2Os crystal.

```
TaTe2Os
1.0
0.000 3.366 3.366
3.366 0.000 3.366
3.366 3.366 0.000
Ta Te Os
1 2 1
direct
0.000 0.000 0.000
0.250 0.250 0.250
0.750 0.750 0.750
0.500 0.500 0.500
```

Calculated values
Energy relative to the lowest polymorph listed for this composition   517 meV per atom
Formation energy from raw total energies   0.54 eV per atom
Fermi-level density of states   2.17 states/eV per cell

(4)
A plane-wave DFT calculation with PBE was carried out for a relaxed SmSbPt crystal.

```
SmSbPt
1.0
0.000 3.391 3.391
3.391 0.000 3.391
3.391 3.391 0.000
Sm Sb Pt
1 1 1
direct
0.000 0.000 0.000
0.750 0.750 0.750
0.500 0.500 0.500
```

Calculated values
Formation energy from raw total energies   -0.66 eV per atom
Fermi-level density of states   0.28 states/eV per cell

(5)
A plane-wave DFT calculation with PBE was carried out for a relaxed CePm2Sm2 crystal.

```
CePm2Sm2
1.0
-2.302 2.302 8.334
2.302 -2.302 8.334
2.302 2.302 -8.334
Ce Pm Sm
1 2 2
direct
0.000 0.000 0.000
0.407 0.407 0.000
0.593 0.593 0.000
0.250 0.750 0.500
0.750 0.250 0.500
```

Calculated values
Energy relative to the lowest polymorph listed for this composition   0 meV per atom
Energy relative to the elements   391 meV per atom
Fermi-level density of states   12.07 states/eV per cell

(6)
A plane-wave DFT calculation with PBE was carried out for a relaxed Li2MgRu crystal.

```
Li2MgRu
1.0
-1.373 2.355 4.849
1.373 -2.355 4.849
1.373 2.355 -4.849
Li Mg Ru
2 1 1
direct
0.237 0.237 0.000
0.763 0.763 0.000
0.500 0.000 0.500
0.000 0.500 0.500
```

Calculated values
Energy relative to the elements   112 meV per atom
Fermi-level density of states   2.04 states/eV per cell

(7)
A plane-wave DFT calculation with PBE was carried out for a relaxed Li2CdSbTe crystal.

```
Li2CdSbTe
1.0
5.131 0.000 0.000
0.000 5.131 0.000
0.000 0.000 5.505
Li Cd Sb Te
2 1 1 1
direct
0.000 0.500 0.000
0.500 0.000 0.000
0.000 0.000 0.000
0.000 0.000 0.500
0.500 0.500 0.500
```

Calculated values
Formation energy from raw total energies   0.14 eV per atom
Fermi-level density of states   3.34 states/eV per cell

(8)
A plane-wave DFT calculation with PBE was carried out for a relaxed TeH2S2 crystal.

```
TeH2S2
1.0
3.842 -2.766 0.000
3.842 2.766 0.000
-0.351 0.000 5.412
Te H S
1 2 2
direct
0.000 0.000 0.000
0.368 0.368 0.014
0.632 0.632 0.986
0.297 0.297 0.779
0.703 0.703 0.221
```

Calculated values
Energy relative to the lowest polymorph listed for this composition   59 meV per atom
Fermi-level density of states   1.81 states/eV per cell

Computed values of total energy (unit: eV/atom) for the preceding records, in sequence: -1.710; -3.924; -6.800; -5.619; -4.583; -3.563; -2.262; -3.435.